{
  "formula": "Ac2VPdO6",
  "functional": "GGA+U",
  "state": "relaxed",
  "total_energy_ev_per_cell": -73.25,
  "crystal_system": "tetragonal",
  "lattice_angstrom": [[5.719, 0.000, 0.000], [0.000, 5.719, 0.000], [0.000, 0.000, 4.424]],
  "species": ["Ac", "Ac", "V", "Pd", "O", "O", "O", "O", "O", "O"],
  "frac_coords": [[0.000, 0.500, 0.000], [0.500, 0.000, 0.000], [0.000, 0.000, 0.552], [0.500, 0.500, 0.561], [0.000, 0.000, 0.146], [0.224, 0.224, 0.655], [0.224, 0.776, 0.655], [0.500, 0.500, 0.074], [0.776, 0.224, 0.655], [0.776, 0.776, 0.655]]
}



{
  "formula": "AcV2PdO7",
  "functional": "GGA+U",
  "state": "relaxed",
  "total_energy_ev_per_cell": -79.63,
  "crystal_system": "tetragonal",
  "lattice_angstrom": [[-1.921, 1.921, 9.456], [1.921, -1.921, 9.456], [1.921, 1.921, -9.456]],
  "species": ["Ac", "V", "V", "Pd", "O", "O", "O", "O", "O", "O", "O"],
  "frac_coords": [[0.000, 0.000, 0.000], [0.387, 0.387, 0.000], [0.613, 0.613, 0.000], [0.750, 0.250, 0.500], [0.101, 0.601, 0.500], [0.288, 0.288, 0.000], [0.399, 0.899, 0.500], [0.500, 0.500, 0.000], [0.601, 0.101, 0.500], [0.712, 0.712, 0.000], [0.899, 0.399, 0.500]]
}



{
  "formula": "AcPdWO6",
  "functional": "GGA+U",
  "state": "relaxed",
  "total_energy_ev_per_cell": -127.56,
  "crystal_system": "trigonal",
  "lattice_angstrom": [[5.404, 0.000, 0.000], [-2.702, 4.680, 0.000], [0.000, 0.000, 10.694]],
  "species": ["Ac", "Ac", "Pd", "Pd", "W", "W", "O", "O", "O", "O", "O", "O", "O", "O", "O", "O", "O", "O"],
  "frac_coords": [[0.000, 0.000, 0.000], [0.000, 0.000, 0.500], [0.333, 0.667, 0.250], [0.667, 0.333, 0.750], [0.333, 0.667, 0.750], [0.667, 0.333, 0.250], [0.024, 0.383, 0.645], [0.024, 0.642, 0.855], [0.358, 0.383, 0.855], [0.358, 0.976, 0.645], [0.383, 0.024, 0.145], [0.383, 0.358, 0.355], [0.617, 0.642, 0.645], [0.617, 0.976, 0.855], [0.642, 0.024, 0.355], [0.642, 0.617, 0.145], [0.976, 0.358, 0.145], [0.976, 0.617, 0.355]]
}



| no. | size of the total moment (μB/cell) | D(E_F) (states/eV/atom) |
| --- | --- | --- |
| 1 | 0.002 | 0.17 |
| 2 | 1.422 | 0.36 |
| 3 | 2.032 | 0.59 |